Record 1
Ac3I (PBE, optimized geometry); energy relative to the lowest polymorph listed for this composition = 0.1591 eV per atom; space-group type = P6_3/mmc; calculated volume = 327.2 Å³/cell; DOS at the Fermi energy = 9.24 states/eV per cell; E = -3.60 eV/atom
1.0
3.876 -6.714 0.000
3.876 6.714 0.000
0.000 0.000 6.286
Ac I
6 2
Direct
0.167 0.333 0.250
0.667 0.833 0.250
0.167 0.833 0.250
0.833 0.667 0.750
0.333 0.167 0.750
0.833 0.167 0.750
0.333 0.667 0.750
0.667 0.333 0.250


Record 2
AcI4 (PBE, optimized geometry); space-group type = Pm-3m; calculated volume = 273.9 Å³/cell; DOS at the Fermi energy = 8.62 states/eV per cell; E = -3.00 eV/atom
1.0
-4.768 3.807 2.224
-3.885 -2.080 -4.770
-2.083 -4.833 3.805
I Ac
4 1
Direct
0.000 0.000 0.000
0.500 0.000 0.500
0.000 0.500 0.500
0.500 0.500 0.000
0.500 0.500 0.500


Record 3
AcI2 (PBE, optimized geometry); energy relative to the lowest polymorph listed for this composition = 0.0531 eV per atom; space-group type = C2/m; calculated volume = 140.2 Å³/cell; DOS at the Fermi energy = 1.86 states/eV per cell; E = -3.72 eV/atom
1.0
-0.893 4.209 0.929
-2.941 -3.128 0.920
3.373 -0.965 7.612
Ac I
1 2
Direct
0.000 0.000 0.000
0.667 0.334 0.737
0.333 0.666 0.263


Record 4
Ac2I (PBE, optimized geometry); space-group type = Fmmm; calculated volume = 125.7 Å³/cell; DOS at the Fermi energy = 3.11 states/eV per cell; E = -3.80 eV/atom
1.0
3.966 -0.443 0.000
-0.443 3.966 0.000
-1.761 -1.761 8.088
I Ac
1 2
Direct
0.500 0.500 0.000
0.161 0.161 0.322
0.839 0.839 0.678


Record 5
Ac3I (PBE, optimized geometry); energy relative to the lowest polymorph listed for this composition = 0.0000 eV per atom; space-group type = Pmm2; calculated volume = 178.2 Å³/cell; DOS at the Fermi energy = 5.39 states/eV per cell; E = -3.76 eV/atom
1.0
4.013 0.000 0.000
0.000 3.926 0.000
0.000 0.000 11.311
I Ac
1 3
Direct
0.000 0.000 0.979
0.000 0.500 0.468
0.500 0.500 0.171
0.500 0.000 0.715


Record 6
AcI2 (PBE, optimized geometry); energy relative to the lowest polymorph listed for this composition = 0.0000 eV per atom; space-group type = I4/mmm; calculated volume = 128.4 Å³/cell; DOS at the Fermi energy = 1.85 states/eV per cell; E = -3.78 eV/atom
1.0
4.060 0.000 0.000
0.000 4.060 0.000
-2.030 -2.030 7.790
I Ac
2 1
Direct
0.625 0.625 0.251
0.375 0.375 0.749
0.000 0.000 0.000


Record 7
Ac4I (PBE, optimized geometry); space-group type = Pm-3m; calculated volume = 248.0 Å³/cell; DOS at the Fermi energy = 4.87 states/eV per cell; E = -3.67 eV/atom
1.0
6.283 0.000 0.000
0.000 6.283 0.000
0.000 0.000 6.283
I Ac
1 4
Direct
0.500 0.500 0.500
0.000 0.000 0.000
0.500 0.000 0.500
0.000 0.500 0.500
0.500 0.500 0.000


Record 8
Ac5I (PBE, optimized geometry); space-group type = Cmmm; calculated volume = 255.7 Å³/cell; DOS at the Fermi energy = 8.72 states/eV per cell; E = -3.79 eV/atom
1.0
-2.677 -3.012 3.587
2.482 -4.561 -1.977
5.110 3.309 6.591
I Ac
1 5
Direct
0.000 0.000 0.000
0.500 0.833 0.665
0.000 0.666 0.332
0.500 0.500 0.000
0.000 0.334 0.668
0.500 0.167 0.335


Record 9
Ac2I5 (PBE, optimized geometry); space-group type = C2/c; calculated volume = 581.4 Å³/cell; DOS at the Fermi energy = 6.20 states/eV per cell; E = -3.67 eV/atom
1.0
-6.072 3.614 1.571
0.454 -3.014 8.689
7.708 5.575 0.289
Ac I
4 10
Direct
0.199 0.417 0.799
0.400 0.083 0.201
0.801 0.583 0.201
0.600 0.917 0.799
0.216 0.421 0.173
0.044 0.079 0.827
0.203 0.667 0.562
0.641 0.833 0.438
0.797 0.333 0.438
0.359 0.167 0.562
0.956 0.921 0.173
0.784 0.579 0.827
0.608 0.250 0.000
0.392 0.750 0.000


Record 10
Ac3I (PBE, optimized geometry); energy relative to the lowest polymorph listed for this composition = 0.1475 eV per atom; space-group type = I4/mmm; calculated volume = 166.2 Å³/cell; DOS at the Fermi energy = 5.25 states/eV per cell; E = -3.61 eV/atom
1.0
-3.176 -4.211 4.411
-1.517 -6.102 -2.783
5.721 3.800 0.321
Ac I
3 1
Direct
0.750 0.250 0.500
0.250 0.750 0.500
0.500 0.500 0.000
0.000 0.000 0.000


Record 11
Ac5In4I (PBE, optimized geometry); space-group type = P4/mmm; calculated volume = 349.6 Å³/cell; DOS at the Fermi energy = 8.33 states/eV per cell; E = -3.82 eV/atom
1.0
3.921 0.000 0.000
0.000 3.921 0.000
0.000 0.000 22.742
Ac In I
5 4 1
Direct
0.500 0.500 0.110
0.500 0.500 0.303
0.500 0.500 0.500
0.500 0.500 0.697
0.500 0.500 0.890
0.000 0.000 0.201
0.000 0.000 0.401
0.000 0.000 0.599
0.000 0.000 0.799
0.000 0.000 0.000


Record 12
AcIn2I8 (PBE, optimized geometry); space-group type = C2/m; calculated volume = 631.4 Å³/cell; DOS at the Fermi energy = 5.22 states/eV per cell; E = -2.79 eV/atom
1.0
-7.158 -0.514 -2.795
-2.446 -8.149 3.747
-4.727 2.278 7.674
Ac In I
1 2 8
Direct
0.000 0.000 0.000
0.676 0.791 0.791
0.324 0.209 0.209
0.225 0.290 0.906
0.775 0.094 0.710
0.290 0.802 0.802
0.710 0.198 0.198
0.225 0.906 0.290
0.775 0.710 0.094
0.854 0.607 0.607
0.146 0.393 0.393


Record 13
AcInI (PBE, optimized geometry); energy relative to the lowest polymorph listed for this composition = 0.0000 eV per atom; space-group type = C2/m; calculated volume = 250.4 Å³/cell; DOS at the Fermi energy = 0.71 states/eV per cell; E = -3.78 eV/atom
1.0
-3.281 3.477 0.310
-4.534 -1.078 1.110
2.346 1.512 12.291
Ac In I
2 2 2
Direct
0.992 0.992 0.685
0.008 0.008 0.315
0.665 0.665 0.535
0.335 0.335 0.465
0.681 0.681 0.152
0.319 0.319 0.848


Record 14
AcInI6 (PBE, optimized geometry); space-group type = R-3; calculated volume = 363.9 Å³/cell; E = -2.94 eV/atom
1.0
-6.682 -3.776 -0.764
-1.807 -3.320 -6.722
0.302 -8.338 -0.389
Ac In I
1 1 6
Direct
0.500 0.500 0.500
0.000 0.000 0.000
0.063 0.405 0.761
0.770 0.063 0.761
0.595 0.230 0.239
0.230 0.937 0.239
0.937 0.595 0.239
0.405 0.770 0.761


Record 15
Ac2InI (PBE, optimized geometry); energy relative to the lowest polymorph listed for this composition = 0.0478 eV per atom; space-group type = R-3m; calculated volume = 153.9 Å³/cell; DOS at the Fermi energy = 1.40 states/eV per cell; E = -3.76 eV/atom
1.0
-2.898 1.176 -2.769
-3.995 -1.075 0.575
-3.847 8.611 4.534
I Ac In
1 2 1
Direct
0.500 0.500 0.500
0.745 0.745 0.764
0.255 0.255 0.236
0.000 0.000 0.000


Record 16
Ac4In2I3 (PBE, optimized geometry); space-group type = P-3m1; calculated volume = 393.2 Å³/cell; DOS at the Fermi energy = 4.59 states/eV per cell; E = -3.77 eV/atom
1.0
-4.540 -0.242 -1.360
3.447 -1.293 -2.994
-1.074 -18.909 6.934
Ac In I
4 2 3
Direct
0.333 0.667 0.891
0.000 0.000 0.301
0.000 0.000 0.699
0.667 0.333 0.109
0.667 0.333 0.797
0.333 0.667 0.203
0.667 0.333 0.402
0.000 0.000 0.000
0.333 0.667 0.598


Record 17
Ac2InI (PBE, optimized geometry); energy relative to the lowest polymorph listed for this composition = 0.0768 eV per atom; space-group type = R3m; calculated volume = 167.2 Å³/cell; DOS at the Fermi energy = 4.11 states/eV per cell; E = -3.73 eV/atom
1.0
-0.698 2.452 4.082
0.226 -2.269 4.239
8.008 1.673 3.201
Ac In I
2 1 1
Direct
0.071 0.071 0.786
0.263 0.263 0.210
0.668 0.668 0.996
0.497 0.497 0.508


Record 18
Ac2InI (PBE, optimized geometry); energy relative to the lowest polymorph listed for this composition = 0.0637 eV per atom; space-group type = Fm-3m; calculated volume = 143.5 Å³/cell; DOS at the Fermi energy = 2.53 states/eV per cell; E = -3.74 eV/atom
1.0
5.876 0.000 0.000
2.938 5.089 0.000
2.938 1.696 4.798
I Ac In
1 2 1
Direct
0.500 0.500 0.500
0.250 0.250 0.250
0.750 0.750 0.750
0.000 0.000 0.000


Record 19
Ac6InI8 (PBE, optimized geometry); space-group type = R-3; calculated volume = 684.5 Å³/cell; DOS at the Fermi energy = 7.81 states/eV per cell; E = -3.77 eV/atom
1.0
-5.647 -3.038 4.955
1.657 -6.521 4.517
2.604 3.949 12.016
Ac In I
6 1 8
Direct
0.947 0.624 0.158
0.730 0.053 0.842
0.376 0.730 0.842
0.624 0.270 0.158
0.270 0.947 0.158
0.053 0.376 0.842
0.000 0.000 0.000
0.777 0.445 0.667
0.889 0.223 0.333
0.555 0.889 0.333
0.333 0.333 0.000
0.667 0.667 0.000
0.445 0.111 0.667
0.111 0.777 0.667
0.223 0.555 0.333


Record 20
AcIn3I6 (PBE, optimized geometry); space-group type = P2_1/c; calculated volume = 955.6 Å³/cell; DOS at the Fermi energy = 0.00 states/eV per cell; E = -3.04 eV/atom
1.0
-1.161 3.618 -7.474
3.949 -7.369 -4.181
-10.799 -5.731 -0.099
Ac In I
2 6 12
Direct
0.500 0.500 0.500
0.000 0.000 0.000
0.474 0.097 0.789
0.500 0.500 0.000
0.526 0.903 0.211
0.974 0.403 0.289
0.000 0.000 0.500
0.026 0.597 0.711
0.329 0.830 0.951
0.332 0.791 0.590
0.341 0.567 0.253
0.659 0.433 0.747
0.668 0.209 0.410
0.671 0.170 0.049
0.829 0.670 0.451
0.832 0.709 0.090
0.841 0.933 0.753
0.159 0.067 0.247
0.168 0.291 0.910
0.171 0.330 0.549


Record 21
Ac2InI (PBE, optimized geometry); energy relative to the lowest polymorph listed for this composition = 0.0000 eV per atom; space-group type = P4/mmm; calculated volume = 140.8 Å³/cell; DOS at the Fermi energy = 2.73 states/eV per cell; E = -3.81 eV/atom
1.0
3.955 0.000 0.000
0.000 3.955 0.000
0.000 0.000 9.003
I Ac In
1 2 1
Direct
0.500 0.500 0.500
0.000 0.000 0.765
0.000 0.000 0.235
0.500 0.500 0.000


Record 22
Ac7InI12 (PBE, optimized geometry); space-group type = R-3; calculated volume = 946.4 Å³/cell; DOS at the Fermi energy = 11.90 states/eV per cell; E = -3.77 eV/atom
1.0
-10.227 -2.744 0.801
5.690 -8.674 -2.270
3.239 3.852 9.351
Ac In I
7 1 12
Direct
0.949 0.660 0.875
0.340 0.125 0.051
0.125 0.051 0.340
0.500 0.500 0.500
0.875 0.949 0.660
0.660 0.875 0.949
0.051 0.340 0.125
0.000 0.000 0.000
0.925 0.307 0.775
0.693 0.225 0.075
0.487 0.159 0.402
0.841 0.598 0.513
0.225 0.075 0.693
0.598 0.513 0.841
0.402 0.487 0.159
0.775 0.925 0.307
0.159 0.402 0.487
0.513 0.841 0.598
0.307 0.775 0.925
0.075 0.693 0.225


Record 23
AcInI4 (PBE, optimized geometry); space-group type = C2/m; calculated volume = 656.2 Å³/cell; DOS at the Fermi energy = 0.00 states/eV per cell; E = -3.34 eV/atom
1.0
4.921 0.000 0.000
0.000 8.838 0.052
0.000 -0.081 15.088
Ac In I
2 2 8
Direct
0.000 0.000 0.500
0.500 0.500 0.000
0.500 0.500 0.500
0.000 0.000 0.000
0.500 0.149 0.379
0.000 0.351 0.121
0.500 0.851 0.621
0.000 0.649 0.879
0.000 0.695 0.384
0.500 0.805 0.116
0.000 0.305 0.616
0.500 0.195 0.884


Record 24
AcInI (PBE, optimized geometry); energy relative to the lowest polymorph listed for this composition = 0.3031 eV per atom; space-group type = R-3; calculated volume = 763.7 Å³/cell; DOS at the Fermi energy = 14.57 states/eV per cell; E = -3.48 eV/atom
1.0
7.776 0.000 0.000
-2.592 10.649 0.000
-2.592 -5.325 9.223
Ac I In
6 6 6
Direct
0.249 0.479 0.056
0.230 0.423 0.479
0.807 0.056 0.577
0.193 0.944 0.423
0.770 0.577 0.521
0.751 0.521 0.944
0.598 0.715 0.797
0.198 0.797 0.082
0.883 0.082 0.285
0.117 0.918 0.715
0.802 0.203 0.918
0.402 0.285 0.203
0.281 0.289 0.727
0.445 0.727 0.438
0.007 0.562 0.289
0.993 0.438 0.711
0.555 0.273 0.562
0.719 0.711 0.273